Entry 1:
Computed, not measured: a relaxed structure of Pm4NbN5 at the PBE level of DFT.

a b c (Å): 7.789 7.789 5.102
angles (deg): 90.00 90.00 90.00
Space group I4 (No. 79)
One atom of each set of equivalent atoms:
Pm (0.105, 0.303, 0.000) x8
Nb (0.000, 0.000, 0.450) x2
N (0.000, 0.000, 0.069) x2
N (0.091, 0.272, 0.496) x8

The value obtained for the density of states at the Fermi level is 6.7 states/eV per cell. The calculation puts the mass density at 7.97 Mg/m³. The formation energy (no corrections) comes out at -1.330 eV per atom.

=====

Entry 2:
Computed, not measured: a relaxed structure of Pm2PuNbN5 at the PBE level of DFT.

a b c (Å): 3.516 14.036 10.566
angles (deg): 90.00 90.00 90.00
Space group Cmc2_1 (No. 36)
One atom of each set of equivalent atoms:
Pm (0.000, 0.108, 0.000) x4
Pm (0.000, 0.141, 0.597) x4
Pu (0.000, 0.214, 0.316) x4
Nb (0.000, 0.483, 0.773) x4
N (0.000, 0.051, 0.357) x4
N (0.000, 0.280, 0.958) x4
N (0.000, 0.315, 0.690) x4
N (0.000, 0.378, 0.319) x4
N (0.000, 0.491, 0.092) x4

The value obtained for the density of states at the Fermi level is 18.2 states/eV per cell. The calculation puts the mass density at 8.88 Mg/m³. The formation energy (no corrections) comes out at -1.209 eV per atom.

=====

Entry 3:
Computed, not measured: a relaxed structure of Pm2NbReN5 at the PBE level of DFT.

a b c (Å): 3.336 13.383 10.552
angles (deg): 90.00 90.00 90.00
Space group Cmc2_1 (No. 36)
One atom of each set of equivalent atoms:
Pm (0.000, 0.109, 0.000) x4
Pm (0.000, 0.149, 0.596) x4
Nb (0.000, 0.222, 0.314) x4
Re (0.000, 0.477, 0.762) x4
N (0.000, 0.044, 0.346) x4
N (0.000, 0.282, 0.947) x4
N (0.000, 0.323, 0.680) x4
N (0.000, 0.368, 0.301) x4
N (0.000, 0.488, 0.087) x4

The value obtained for the density of states at the Fermi level is 9.4 states/eV per cell. The calculation puts the mass density at 9.01 Mg/m³. The formation energy (no corrections) comes out at -0.926 eV per atom.

=====

Entry 4:
Computed, not measured: a relaxed structure of Pm2SmNbN4 at the PBE level of DFT.

a b c (Å): 5.993 3.447 6.005
angles (deg): 90.00 108.99 90.00
Space group P2/m (No. 10)
One atom of each set of equivalent atoms:
Pm (0.000, 0.000, 0.000) x1
Pm (0.500, 0.500, 0.000) x1
Sm (0.000, 0.500, 0.500) x1
Nb (0.500, 0.000, 0.500) x1
N (0.269, 0.000, 0.728) x2
N (0.276, 0.500, 0.277) x2

The value obtained for the density of states at the Fermi level is 2.0 states/eV per cell. The calculation puts the mass density at 8.34 Mg/m³. The formation energy (no corrections) comes out at -1.295 eV per atom.

=====

Entry 5:
Computed, not measured: a relaxed structure of PmSmNbN3 at the PBE level of DFT.

a b c (Å): 7.348 3.612 8.552
angles (deg): 90.00 98.61 90.00
Space group P2_1/m (No. 11)
One atom of each set of equivalent atoms:
Pm (0.166, 0.250, 0.137) x2
Sm (0.370, 0.750, 0.845) x2
Nb (0.077, 0.250, 0.615) x2
N (0.094, 0.250, 0.854) x2
N (0.173, 0.750, 0.553) x2
N (0.394, 0.750, 0.124) x2

The value obtained for the density of states at the Fermi level is 5.2 states/eV per cell. The calculation puts the mass density at 6.37 Mg/m³. The formation energy (no corrections) comes out at -1.045 eV per atom.

=====

Entry 6:
Computed, not measured: a relaxed structure of Pm2NbSnN5 at the PBE level of DFT.

a b c (Å): 3.341 14.036 10.592
angles (deg): 90.00 90.00 90.00
Space group Cmc2_1 (No. 36)
One atom of each set of equivalent atoms:
Pm (0.000, 0.114, 0.000) x4
Pm (0.000, 0.135, 0.579) x4
Nb (0.000, 0.227, 0.304) x4
Sn (0.000, 0.477, 0.767) x4
N (0.000, 0.061, 0.363) x4
N (0.000, 0.280, 0.938) x4
N (0.000, 0.304, 0.674) x4
N (0.000, 0.365, 0.299) x4
N (0.000, 0.497, 0.076) x4

The value obtained for the density of states at the Fermi level is 0.2 states/eV per cell. The calculation puts the mass density at 7.64 Mg/m³. The formation energy (no corrections) comes out at -0.821 eV per atom.

=====

Which value of formation energy (no corrections) does entry 5 give?
-1.045 eV per atom

=====

Which of these has the highest mass density?
Pm2NbReN5

=====

Among the records above, which one has the highest formation energy (no corrections)?
Pm2NbSnN5